PBE Pm2BiCl, optimized geometry; total magnetic moment = 0.0 μB per cell; space group = No. 225; ΔE_f (raw) = -1043 meV/atom; DOS at the Fermi energy = 0.76 states/eV/atom
1.0
0.000 3.809 3.809
3.809 0.000 3.809
3.809 3.809 0.000
Pm Bi Cl
2 1 1
Cartesian
1.904 1.904 1.904 Pm
5.713 5.713 5.713 Pm
0.000 0.000 0.000 Bi
3.809 3.809 3.809 Cl